Entry 1:
First-principles (PBE) data for a relaxed structure of AlV5C, as listed in Alexandria via LeMat-Bulk.

The structure in POSCAR format:
```
AlV5C
1.0
4.8107 -1.1109 -1.0677
0.4727 4.9146 -1.0677
0.7632 0.5494 7.1690
V Al C
10 2 2
Cartesian
3.8605 3.6568 2.1750
1.5120 4.6780 4.3091
1.1085 3.2304 1.8726
4.9379 1.1226 3.1610
1.7354 2.1269 6.4431
2.1860 0.6963 2.8587
4.3111 2.2262 -1.4095
4.5345 -0.3249 0.7246
2.2497 4.0520 -0.4235
3.7968 0.3011 5.4571
3.0662 1.7145 0.7246
2.9803 2.6386 4.3091
0.0000 0.0000 0.0000
0.3816 0.2747 3.5845
```

SG = C2/c (15)
VASP energy = -119.3 eV for the cell shown
spin magnetization = 0.00 μB per cell

Entry 2:
First-principles (PBE) data for a relaxed structure of LiNd2H4, as listed in Alexandria via LeMat-Bulk.

The structure in POSCAR format:
```
LiNd2H4
1.0
3.6843 0.0000 0.0000
0.0000 3.6843 0.0000
1.8421 1.8421 6.3345
Li H Nd
1 4 2
Cartesian
0.0000 0.0000 0.0000
3.6843 3.6843 2.0300
1.8421 0.0000 0.0000
0.0000 1.8421 0.0000
1.8421 1.8421 4.3046
3.6843 3.6843 4.4116
1.8421 1.8421 1.9229
```

SG = I4/mmm (139)
VASP energy = -27.8 eV for the cell shown
spin magnetization = 0.00 μB per cell

Entry 3:
First-principles (PBE) data for a relaxed structure of Li3BPd6, as listed in Alexandria via LeMat-Bulk.

The structure in POSCAR format:
```
Li3BPd6
1.0
-0.9694 -1.5243 -4.3286
-5.0389 -3.9924 2.5344
-5.5110 6.3409 -0.9683
Pd Li B
12 6 2
Cartesian
-4.5664 4.5449 -1.1594
-9.5368 1.7033 -3.1439
-5.0079 -3.5131 0.3433
-4.4085 -1.0619 -1.7768
-6.5114 4.3372 -3.1057
-7.1108 1.8860 -0.9857
-4.6892 1.9519 -2.5353
-7.3375 -0.3833 -2.7632
-4.1819 1.2074 0.0007
-6.9529 -3.7208 -1.6030
-6.8302 -1.1277 -0.2271
-1.9825 -0.8792 0.3815
-4.5727 -1.1003 0.9654
-2.4541 0.5084 -1.7093
-9.0652 0.3157 -1.0531
-2.7555 3.1705 -0.4841
-3.0041 -2.7584 -0.8971
-6.9466 1.9244 -3.7279
-5.7597 0.4121 -1.3812
0.0000 0.0000 0.0000
```

SG = P2_1/c (14)
VASP energy = -92.5 eV for the cell shown
spin magnetization = 0.00 μB per cell

Entry 4:
First-principles (PBE) data for a relaxed structure of K2MgPS4, as listed in Alexandria via LeMat-Bulk.

The structure in POSCAR format:
```
K2MgPS4
1.0
5.8940 0.0000 0.0000
2.9470 6.7212 0.0000
2.9470 0.0000 11.6225
Mg S K P
2 8 4 2
Cartesian
0.0000 0.0000 0.0000
7.3675 3.3606 5.8112
3.1220 2.0555 4.6158
4.5955 5.4161 1.1954
5.7190 4.6657 4.6158
9.0161 4.6657 7.0067
4.5955 1.3051 10.4271
10.1395 5.4161 10.4271
4.2455 1.3051 1.1954
5.7190 2.0555 7.0067
7.3675 3.3606 10.0070
7.3675 3.3606 1.6155
2.9470 0.0000 7.4267
5.8940 0.0000 4.1957
4.4205 3.3606 5.8112
2.9470 0.0000 0.0000
```

SG = Fddd (70)
VASP energy = -64.4 eV for the cell shown
formation energy from raw total energies = -625 kJ/mol of formula units
spin magnetization = 0.00 μB per cell

Entry 5:
First-principles (PBE) data for a relaxed structure of Ca2NdPt, as listed in Alexandria via LeMat-Bulk.

The structure in POSCAR format:
```
Ca2NdPt
1.0
-4.0072 -0.2088 -0.2210
2.4486 -2.0594 -5.8534
0.2906 -9.0932 3.3209
Ca Nd Pt
4 2 2
Cartesian
-1.7467 -4.6768 -0.4126
0.5853 -10.0193 -1.1229
0.4787 -6.6847 -2.3408
-1.8533 -1.3421 -1.6305
0.2893 -7.1618 1.5484
-1.5573 -4.1997 -4.3018
0.3048 -3.4033 -2.2841
-1.5728 -7.9582 -0.4693
```

SG = Cmcm (63)
excess energy over the best structure of this formula in the dataset = 0.5 kJ per mole of atoms
VASP energy = -34.3 eV for the cell shown
spin magnetization = 0.00 μB per cell

Entry 6:
First-principles (PBE) data for a relaxed structure of MgTlGeSe4, as listed in Alexandria via LeMat-Bulk.

The structure in POSCAR format:
```
MgTlGeSe4
1.0
-3.0575 -5.5803 2.1009
1.2914 -2.8715 -5.7479
9.4696 -1.0033 2.6287
Tl Mg Se Ge
2 2 8 2
Cartesian
0.1279 -1.8429 -0.9187
7.5755 -7.6122 -0.0996
5.8347 -2.9926 0.9378
1.8688 -6.4625 -1.9560
3.4076 -3.9778 0.8846
7.4011 -2.3555 -1.0631
6.7935 -5.0888 2.2004
0.9099 -4.3663 -3.2187
0.3023 -7.0997 0.0449
7.9893 -3.6633 -3.6811
-0.2859 -5.7918 2.6628
4.2958 -5.4774 -1.9029
4.5319 -5.7874 2.0413
3.1715 -3.6677 -3.0596
```

SG = P2_1/m (11)
VASP energy = -51.7 eV for the cell shown
formation energy from raw total energies = -320 kJ/mol of formula units
spin magnetization = 0.00 μB per cell

Entry 7:
First-principles (PBE) data for a relaxed structure of PuGa3I6, as listed in Alexandria via LeMat-Bulk.

The structure in POSCAR format:
```
PuGa3I6
1.0
7.8354 0.0000 -0.2326
0.0000 8.7595 0.0000
0.1471 0.0000 11.8683
I Ga Pu
12 6 2
Cartesian
1.4404 2.6678 10.9349
5.1793 3.9053 8.6592
6.4646 5.9708 4.8679
2.6979 7.0476 6.7511
2.6204 7.1684 10.9183
6.7944 8.2850 8.7942
5.3620 1.5911 0.7173
5.2846 1.7119 4.8845
1.5179 2.7887 6.7678
6.5421 6.0916 0.7007
1.1880 0.4745 2.8414
2.8032 4.8542 2.9764
7.3181 3.1661 2.8453
0.0735 0.0000 5.9341
3.4740 1.2136 8.8957
0.6643 5.5934 8.7904
4.5085 7.5459 2.7399
3.9177 4.3797 -0.1163
3.9912 4.3797 5.8178
0.0000 0.0000 0.0000
```

SG = P2_1/c (14)
VASP energy = -77.6 eV for the cell shown
formation energy from raw total energies = -586 kJ/mol of formula units
spin magnetization = 10.00 μB per cell

Entry 8:
First-principles (PBE) data for a relaxed structure of LiIr2Br, as listed in Alexandria via LeMat-Bulk.

The structure in POSCAR format:
```
LiIr2Br
1.0
-1.7852 1.9566 -0.9532
0.7919 -2.1237 -1.6694
-8.0582 -5.6887 3.4144
Br Li Ir
1 1 2
Cartesian
-6.0096 -3.9754 1.0245
-3.9186 -2.7664 1.6604
-0.4736 -0.3343 0.2007
-2.6789 -1.6241 -0.3867
```

SG = Cmm2 (35)
excess energy over the best structure of this formula in the dataset = 27.1 kJ per mole of atoms
VASP energy = -19.8 eV for the cell shown
formation energy from raw total energies = 147 kJ/mol of formula units
spin magnetization = 0.00 μB per cell

Entry 9:
First-principles (PBE) data for a relaxed structure of LaTh2Mn, as listed in Alexandria via LeMat-Bulk.

The structure in POSCAR format:
```
LaTh2Mn
1.0
-3.1269 0.5207 1.7132
0.6815 -2.8420 2.1076
3.9554 5.1432 5.6562
Mn La Th
1 1 2
Cartesian
-1.2227 -1.1607 1.9104
0.7551 1.4109 4.7385
3.1564 4.1042 4.5136
0.7991 1.0390 1.1426
```

SG = P4/mmm (123)
excess energy over the best structure of this formula in the dataset = 0.0 kJ per mole of atoms
VASP energy = -28.3 eV for the cell shown
spin magnetization = 2.73 μB per cell

Entry 10:
First-principles (PBE) data for a relaxed structure of KCaIn2, as listed in Alexandria via LeMat-Bulk.

The structure in POSCAR format:
```
KCaIn2
1.0
-8.6925 -2.4102 1.4868
1.8756 -8.4960 -2.8069
-2.6014 -6.3522 2.6007
K In Ca
2 4 2
Cartesian
-2.0671 -10.1506 -0.4331
-3.4084 -5.4531 -0.6600
-0.3957 -7.1525 -0.9472
-4.5438 -8.6888 1.5100
-6.0176 -4.2033 1.2574
-7.8793 -14.4722 0.7409
0.0000 0.0000 0.0000
-7.3511 -7.1077 1.7137
```

SG = I-42d (122)
excess energy over the best structure of this formula in the dataset = 29.3 kJ per mole of atoms
VASP energy = -16.4 eV for the cell shown
spin magnetization = 0.00 μB per cell

Entry 11:
First-principles (PBE) data for a relaxed structure of PmSeS, as listed in Alexandria via LeMat-Bulk.

The structure in POSCAR format:
```
PmSeS
1.0
8.6577 -0.2472 -0.3083
-1.7886 8.4746 -0.3083
-1.7886 -2.1423 8.2051
S Pm Se
6 6 6
Cartesian
1.2888 7.3481 0.3146
3.7918 -1.2630 7.2738
-1.9195 6.3384 5.0021
6.5793 5.0471 0.3476
7.0000 -0.2534 2.5864
-1.4987 1.0379 7.2409
0.4989 4.9181 1.1659
4.5816 1.1670 6.4225
5.1012 5.5817 2.5345
4.7500 0.8407 1.5894
0.3305 5.2444 5.9991
-0.0207 0.5033 5.0539
3.0376 -0.0401 4.0245
2.0429 6.1251 3.5639
3.3317 3.6916 0.8353
5.6621 2.8045 3.8035
1.7488 2.3935 6.7531
-0.5816 3.2806 3.7849
```

SG = R-3 (148)
excess energy over the best structure of this formula in the dataset = 23.7 kJ per mole of atoms
VASP energy = -100.1 eV for the cell shown
formation energy from raw total energies = -418 kJ/mol of formula units
spin magnetization = 0.00 μB per cell

Look up the spin magnetization of the fifth one. 0.00 μB per cell

Look up the VASP energy of the eighth one. -19.8 eV for the cell shown

Look up the spin magnetization of the eleventh one. 0.00 μB per cell